# MnFeH2 | the Alexandria database | GGA-PBEsol | relaxed
data_MnFeH2
_chemical_formula_sum 'Mn4 Fe4 H8'
_cell_length_a 4.8369
_cell_length_b 4.8369
_cell_length_c 4.8369
_cell_angle_alpha 90.00
_cell_angle_beta 90.00
_cell_angle_gamma 90.00
_space_group_name_H-M_alt 'F m -3 m'
_space_group_IT_number 225
_space_group_name_Hall '-F 4 2 3'
loop_
_atom_site_label
_atom_site_type_symbol
_atom_site_fract_x
_atom_site_fract_y
_atom_site_fract_z
_atom_site_occupancy
Mn1 Mn 0.0000 0.0000 0.0000 1
Fe1 Fe 0.0000 0.0000 0.5000 1
H1 H 0.2500 0.2500 0.2500 1
# Uncorrected energy: -5.8614 eV per atom